(1)
This record from Alexandria describes a relaxed KRbUS4 crystal. The functional is PBE.

**M_tot**: 0.000 μB/f.u.
**Formation energy from raw total energies**: -1285 meV/atom

Cell: 7.345 7.344 8.961 Å, 90.00 114.19 90.00°
Fractional positions:
S 0.500 0.000 0.500
S 0.500 0.500 0.500
S 0.000 0.500 0.500
S 0.902 0.250 0.804
S 0.601 0.250 0.203
S 0.098 0.750 0.196
S 0.000 0.000 0.500
S 0.399 0.750 0.797
K 0.107 0.250 0.215
K 0.893 0.750 0.785
U 0.751 0.250 0.503
U 0.249 0.750 0.497
Rb 0.603 0.750 0.206
Rb 0.397 0.250 0.794

=====

(2)
This record from Alexandria describes a relaxed KRb4U3S12 crystal. The functional is PBE.

**M_tot**: 0.000 μB/f.u.
**Formation energy from raw total energies**: -1182 meV/atom
**DOS(E_F)**: 10.4 states/eV/f.u.

Cell: 9.207 9.207 9.207 Å, 109.47 109.47 109.47°
Fractional positions:
S 0.726 0.000 0.726
S 0.726 0.726 0.000
S 0.250 0.500 0.750
S 0.000 0.726 0.726
S 0.274 0.000 0.274
S 0.750 0.500 0.250
S 0.750 0.250 0.500
S 0.500 0.250 0.750
S 0.500 0.750 0.250
S 0.274 0.274 0.000
S 0.000 0.274 0.274
S 0.250 0.750 0.500
U 0.500 0.000 0.500
U 0.500 0.500 0.000
U 0.000 0.500 0.500
Rb 0.000 0.000 0.500
Rb 0.000 0.500 0.000
Rb 0.500 0.000 0.000
Rb 0.500 0.500 0.500
K 0.000 0.000 0.000

=====

(3)
This record from Alexandria describes a relaxed K2RbU2S7 crystal. The functional is PBE.

**M_tot**: 1.028 μB/f.u.
**Formation energy from raw total energies**: -1307 meV/atom
**DOS(E_F)**: 7.6 states/eV/f.u.

Cell: 5.206 5.206 13.677 Å, 79.03 79.03 90.00°
Fractional positions:
Rb 0.000 0.000 0.000
S 0.598 0.098 0.805
S 0.308 0.308 0.385
S 0.500 0.500 0.000
S 0.692 0.692 0.615
S 0.902 0.402 0.195
S 0.098 0.598 0.805
S 0.402 0.902 0.195
U 0.400 0.400 0.199
U 0.600 0.600 0.801
K 0.185 0.185 0.631
K 0.815 0.815 0.369